# 1
Material: MgCd2Bi
Method: DFT, GGA-PBE
State: optimized geometry

## Properties
Electronic total energy   -1.84 eV/atom
Calculated volume   99.05 Å³/f.u.
Space-group type   F-43m, No. 216

Unit cell a=5.193 b=5.193 c=5.193 alpha=60.00 beta=60.00 gamma=60.00
Positions (direct):
Mg: 0.000 0.000 0.000
Cd: 0.250 0.250 0.250
Cd: 0.500 0.500 0.500
Bi: 0.750 0.750 0.750



# 2
Material: Rb2MgCdBi2
Method: DFT, GGA-PBE
State: optimized geometry

## Properties
Electronic total energy   -2.48 eV/atom
Calculated volume   221.60 Å³/f.u.
Space-group type   P-4m2, No. 115

Unit cell a=4.999 b=4.999 c=8.867 alpha=90.00 beta=90.00 gamma=90.00
Positions (direct):
Rb: 0.000 0.500 0.154
Rb: 0.500 0.000 0.846
Mg: 0.500 0.500 0.500
Cd: 0.000 0.000 0.500
Bi: 0.000 0.500 0.698
Bi: 0.500 0.000 0.302



# 3
Material: SrMgCdBi2
Method: DFT, GGA-PBE
State: optimized geometry

## Properties
Electronic total energy   -2.94 eV/atom
Calculated volume   163.90 Å³/f.u.
Space-group type   P3m1, No. 156

Unit cell a=4.858 b=4.858 c=8.018 alpha=90.00 beta=90.00 gamma=120.00
Positions (direct):
Sr: 0.000 0.000 0.000
Mg: 0.333 0.667 0.626
Cd: 0.667 0.333 0.375
Bi: 0.333 0.667 0.249
Bi: 0.667 0.333 0.752



# 4
Material: Sr2MgCdBi4
Method: DFT, GGA-PBE
State: optimized geometry

## Properties
Electronic total energy   -3.29 eV/atom
Calculated volume   257.16 Å³/f.u.
Space-group type   I-4m2, No. 119

Unit cell a=12.304 b=12.304 c=12.304 alpha=158.18 beta=158.18 gamma=31.05
Positions (direct):
Sr: 0.113 0.113 0.000
Sr: 0.887 0.887 0.000
Mg: 0.750 0.250 0.500
Cd: 0.250 0.750 0.500
Bi: 0.001 0.501 0.500
Bi: 0.333 0.333 0.000
Bi: 0.499 0.999 0.500
Bi: 0.667 0.667 0.000



# 5
Material: Cd2BiMo
Method: DFT, GGA-PBE
State: optimized geometry

## Properties
M_tot   1.9 μB per formula unit
Electronic total energy   -3.47 eV/atom
Calculated volume   86.01 Å³/f.u.
Space-group type   F-43m, No. 216

Unit cell a=4.955 b=4.955 c=4.955 alpha=60.00 beta=60.00 gamma=60.00
Positions (direct):
Cd: 0.000 0.000 0.000
Cd: 0.250 0.250 0.250
Bi: 0.500 0.500 0.500
Mo: 0.750 0.750 0.750



# 6
Material: CdBi2Mo
Method: DFT, GGA-PBE
State: optimized geometry

## Properties
M_tot   2.3 μB per formula unit
Electronic total energy   -4.14 eV/atom
Calculated volume   96.64 Å³/f.u.
Space-group type   F-43m, No. 216

Unit cell a=5.151 b=5.151 c=5.151 alpha=60.00 beta=60.00 gamma=60.00
Positions (direct):
Cd: 0.000 0.000 0.000
Bi: 0.500 0.500 0.500
Bi: 0.750 0.750 0.750
Mo: 0.250 0.250 0.250



# 7
Material: CdNiBiMo
Method: DFT, GGA-PBE
State: optimized geometry

## Properties
M_tot   0.0 μB per formula unit
Electronic total energy   -4.76 eV/atom
Calculated volume   72.64 Å³/f.u.
Space-group type   F-43m, No. 216

Unit cell a=4.684 b=4.684 c=4.684 alpha=60.00 beta=60.00 gamma=60.00
Positions (direct):
Cd: 0.000 0.000 0.000
Ni: 0.750 0.750 0.750
Bi: 0.500 0.500 0.500
Mo: 0.250 0.250 0.250



# 8
Material: Nb4CdBiN2
Method: DFT, GGA-PBE
State: optimized geometry

## Properties
M_tot   0.0 μB per formula unit
Electronic total energy   -8.12 eV/atom
Calculated volume   130.15 Å³/f.u.
Space-group type   P-6m2, No. 187

Unit cell a=3.282 b=3.282 c=13.953 alpha=90.00 beta=90.00 gamma=120.00
Positions (direct):
Nb: 0.000 0.000 0.171
Nb: 0.000 0.000 0.829
Nb: 0.333 0.667 0.328
Nb: 0.333 0.667 0.672
Cd: 0.333 0.667 0.000
Bi: 0.000 0.000 0.500
N: 0.667 0.333 0.249
N: 0.667 0.333 0.751



Among the records above, which one has the lowest electronic total energy? Nb4CdBiN2